Entry 1:
Compound: LiAlGe
Source: Alexandria via LeMat-Bulk
Functional: PBE
Structure: optimized geometry

Energy = -20.65 eV/cell
E_form = -16.9 meV/atom
Total moment = 0.0 μB per formula unit
DOS(E_F) = 1.6 states/eV per cell
Volume = 18.42 Å³/atom

Geometry as POSCAR:
```
LiAlGe
1.0
2.883 0.000 0.000
0.025 6.333 0.000
1.362 2.961 6.053
Li Al Ge
2 2 2
Cartesian
0.000 0.000 0.000
1.327 7.213 2.942
2.734 5.392 4.892
2.797 2.764 1.130
2.770 2.929 3.840
2.722 5.093 2.252
```

Entry 2:
Compound: Tl16Hg12Cl
Source: Alexandria via LeMat-Bulk
Functional: PBE
Structure: optimized geometry

Energy = -44.73 eV/cell
Total moment = 0.0 μB per formula unit
Raw formation energy = -0.048 eV/atom
DOS(E_F) = 10.7 states/eV per cell
Volume = 29.36 Å³/atom

Geometry as POSCAR:
```
Tl16Hg12Cl
1.0
5.999 -8.294 0.000
5.999 8.294 0.000
-5.819 0.000 8.557
Tl Hg Cl
16 12 1
Cartesian
0.000 0.000 0.000
2.065 3.298 5.751
-0.195 2.221 8.360
4.731 5.441 4.826
8.197 5.106 0.069
4.158 2.304 3.096
1.338 0.000 5.686
-0.195 -2.221 8.360
7.577 3.079 2.867
4.158 -2.304 3.096
2.065 -3.298 5.751
4.725 0.000 5.467
9.678 0.000 2.875
7.577 -3.079 2.867
8.197 -5.106 0.069
4.731 -5.441 4.826
-0.776 5.241 6.826
1.745 6.716 5.793
1.006 1.579 2.865
4.850 5.048 1.432
-1.666 0.000 6.386
3.204 0.000 0.807
1.006 -1.579 2.865
2.904 1.524 8.464
-0.776 -5.241 6.826
4.850 -5.048 1.432
2.904 -1.524 8.464
1.745 -6.716 5.793
6.475 0.000 2.585
```

Entry 3:
Compound: SbP2Rh
Source: Alexandria via LeMat-Bulk
Functional: PBE
Structure: optimized geometry

Energy = -20.62 eV/cell
Total moment = 0.0 μB per formula unit
Raw formation energy = 0.419 eV/atom
DOS(E_F) = 3.0 states/eV per cell
Volume = 16.89 Å³/atom

Geometry as POSCAR:
```
SbP2Rh
1.0
3.131 0.000 0.000
0.000 4.643 0.000
0.000 0.000 4.648
Sb P Rh
1 2 1
Cartesian
0.000 0.000 0.000
0.000 2.322 2.324
1.566 0.000 2.324
1.566 2.322 0.000
```

Entry 4:
Compound: MnFe3Rh4
Source: Alexandria via LeMat-Bulk
Functional: PBE
Structure: optimized geometry

Energy = -64.60 eV/cell
E_form = -79.7 meV/atom
Total moment = 17.6 μB per formula unit
DOS(E_F) = 5.0 states/eV per cell
Volume = 13.83 Å³/atom

Geometry as POSCAR:
```
MnFe3Rh4
1.0
4.280 0.000 0.000
0.000 4.280 0.000
0.000 0.000 6.040
Mn Fe Rh
1 3 4
Cartesian
0.000 0.000 0.000
0.000 0.000 3.020
2.140 2.140 0.000
2.140 2.140 3.020
0.000 2.140 1.527
0.000 2.140 4.513
2.140 0.000 1.527
2.140 0.000 4.513
```